## Ba2SrPr (PBE-GGA)

Data for Ba2SrPr after structural relaxation.

- Magnetic moment: 0.0 μB per formula unit
- Energy relative to the lowest polymorph listed for this composition: 0.036 eV per atom
- SG: P4/mmm

Geometry as POSCAR:
```
Ba2SrPr
1.0
6.658 0.000 0.000
0.000 6.658 0.000
0.000 0.000 4.623
Ba Sr Pr
2 1 1
Direct
0.000 0.500 0.000
0.500 0.000 0.000
0.000 0.000 0.500
0.500 0.500 0.500
```

***

## BaSr2Pr (PBE-GGA)

Data for BaSr2Pr after structural relaxation.

- Magnetic moment: 0.7 μB per formula unit
- Energy relative to the lowest polymorph listed for this composition: 0.167 eV per atom
- SG: R-3m

Geometry as POSCAR:
```
BaSr2Pr
1.0
3.982 0.000 0.000
-1.991 3.449 0.000
0.000 0.000 43.762
Ba Sr Pr
3 6 3
Direct
0.000 0.000 0.000
0.333 0.667 0.667
0.667 0.333 0.333
0.000 0.000 0.416
0.000 0.000 0.584
0.333 0.667 0.083
0.333 0.667 0.251
0.667 0.333 0.749
0.667 0.333 0.917
0.000 0.000 0.500
0.333 0.667 0.167
0.667 0.333 0.833
```

***

## Ba2SrPr (PBE-GGA)

Data for Ba2SrPr after structural relaxation.

- Magnetic moment: 0.8 μB per formula unit
- Energy relative to the lowest polymorph listed for this composition: 0.167 eV per atom
- SG: R-3m

Geometry as POSCAR:
```
Ba2SrPr
1.0
4.037 0.000 0.000
-2.019 3.496 0.000
0.000 0.000 43.891
Ba Sr Pr
6 3 3
Direct
0.000 0.000 0.084
0.000 0.000 0.916
0.333 0.667 0.583
0.333 0.667 0.750
0.667 0.333 0.250
0.667 0.333 0.417
0.000 0.000 0.500
0.333 0.667 0.167
0.667 0.333 0.833
0.000 0.000 0.000
0.333 0.667 0.667
0.667 0.333 0.333
```